Here is an optimized crystal structure of SiTc3 from Alexandria. Energies are from PBE-GGA.

Cell lengths 3.7739, 3.7739, 15.8068 Å; angles 90.00, 90.00, 90.00 degrees
Closest atoms and distances in Å follow each position.
Space group I4/mmm (No. 139)
Symmetry-distinct sites (fractional):
Si 0.0000 0.0000 0.1225 x4  12 Tc 2.67-2.76
Tc 0.0000 0.0000 0.3741 x4  4 Si 2.67, 8 Tc 2.72-2.74
Tc 0.0000 0.5000 0.0000 x4  8 Tc 2.67-2.74, 4 Si 2.70
Tc 0.0000 0.5000 0.2500 x4  8 Tc 2.67-2.72, 4 Si 2.76

Output
Calculated total energy, eV per atom: -9.15
ΔE_f (raw), eV/f.u.: -0.10
Density of states at the Fermi level, states/eV/atom: 1.24
Crystal system: tetragonal